(1)
# Nd4Pu3S8 | Alexandria | GGA-PBE | relaxed
data_Nd4Pu3S8
_cell_length_a 8.034
_cell_length_b 8.034
_cell_length_c 8.021
_cell_angle_alpha 119.88
_cell_angle_beta 119.88
_cell_angle_gamma 90.03
_symmetry_space_group_name_H-M 'P 1'
_symmetry_Int_Tables_number 1
loop_
_symmetry_equiv_pos_as_xyz
'x,y,z'
loop_
_atom_site_label
_atom_site_fract_x
_atom_site_fract_y
_atom_site_fract_z
Nd1 0.000 0.000 0.000
Nd2 0.000 0.500 0.000
Nd3 0.500 0.000 0.000
Nd4 0.500 0.500 0.500
Pu1 0.000 0.000 0.500
Pu2 0.000 0.500 0.500
Pu3 0.500 0.000 0.500
S1 0.246 0.754 0.500
S2 0.247 0.247 0.501
S3 0.249 0.249 0.996
S4 0.251 0.749 0.000
S5 0.749 0.251 0.000
S6 0.751 0.751 0.004
S7 0.753 0.753 0.499
S8 0.754 0.246 0.500
# Uncorrected formation energy = -1.9199 eV/atom
# Symmetry = C2/m (12)
# Raw total energy = -8.26 eV per atom
# Density of states at the Fermi level = 27.8 states/eV per cell
# Volume = 24.49 Å³ per atom
# Magnetic moment = 16.94 μB/f.u.


(2)
# Nd4PuS6 | Alexandria | GGA-PBE | relaxed
data_Nd4PuS6
_cell_length_a 6.996
_cell_length_b 6.996
_cell_length_c 20.316
_cell_angle_alpha 90.00
_cell_angle_beta 90.00
_cell_angle_gamma 146.81
_symmetry_space_group_name_H-M 'P 1'
_symmetry_Int_Tables_number 1
loop_
_symmetry_equiv_pos_as_xyz
'x,y,z'
loop_
_atom_site_label
_atom_site_fract_x
_atom_site_fract_y
_atom_site_fract_z
Nd1 0.091 0.909 0.632
Nd2 0.091 0.909 0.868
Nd3 0.361 0.639 0.542
Nd4 0.361 0.639 0.958
Nd5 0.639 0.361 0.042
Nd6 0.639 0.361 0.458
Nd7 0.909 0.091 0.132
Nd8 0.909 0.091 0.368
Pu1 0.154 0.846 0.250
Pu2 0.846 0.154 0.750
S1 0.000 0.000 0.000
S2 0.000 0.000 0.500
S3 0.198 0.802 0.750
S4 0.271 0.729 0.090
S5 0.271 0.729 0.410
S6 0.451 0.549 0.670
S7 0.451 0.549 0.830
S8 0.549 0.451 0.170
S9 0.549 0.451 0.330
S10 0.729 0.271 0.590
S11 0.729 0.271 0.910
S12 0.802 0.198 0.250
# Uncorrected formation energy = -1.9414 eV/atom
# Symmetry = Cmcm (63)
# Raw total energy = -7.23 eV per atom
# Density of states at the Fermi level = 32.6 states/eV per cell
# Volume = 24.74 Å³ per atom
# Magnetic moment = 5.48 μB/f.u.